Record 1
# SCAN Cd2RhAu, single point on PBEsol structure
data_Cd2RhAu
_chemical_formula_sum 'Cd4 Rh2 Au2'
_symmetry_space_group_name_H-M 'C 1 m 1'
_symmetry_Int_Tables_number 8
_symmetry_space_group_name_Hall 'C -2y'
_cell_length_a 10.2237
_cell_length_b 3.0335
_cell_length_c 4.7625
_cell_angle_alpha 90.00
_cell_angle_beta 112.23
_cell_angle_gamma 90.00
loop_
_atom_site_label
_atom_site_fract_x
_atom_site_fract_y
_atom_site_fract_z
_atom_site_occupancy
Cd1 0.0000 0.0000 0.0000 1
Cd2 0.2305 0.0000 0.6143 1
Rh1 0.2435 0.5000 0.1130 1
Au1 0.4775 0.0000 0.4847 1
# * volume: 17.1 A^3/atom
# * DOS(E_F): 3.02 states/eV per cell
# * E: -3.0187 Ry/atom
# * formation energy from the elements: -0.5 eV per formula unit

Record 2
# SCAN NaAlSiO4, single point on PBEsol structure
data_NaAlSiO4
_chemical_formula_sum 'Na8 Al8 Si8 O32'
_symmetry_space_group_name_H-M 'P 63'
_symmetry_Int_Tables_number 173
_symmetry_space_group_name_Hall 'P 6c'
_cell_length_a 9.9210
_cell_length_b 9.9210
_cell_length_c 8.3663
_cell_angle_alpha 90.00
_cell_angle_beta 90.00
_cell_angle_gamma 120.00
loop_
_atom_site_label
_atom_site_fract_x
_atom_site_fract_y
_atom_site_fract_z
_atom_site_occupancy
Na1 0.0000 0.0000 0.0000 1
Na2 0.0049 0.4464 0.4917 1
Al1 0.0859 0.3278 0.1773 1
Al2 0.3333 0.6667 0.6908 1
Si1 0.0871 0.3280 0.8078 1
Si2 0.3333 0.6667 0.2895 1
O1 0.0065 0.3016 0.9843 1
O2 0.0412 0.7837 0.1751 1
O3 0.0587 0.7771 0.8191 1
O4 0.1566 0.5095 0.7558 1
O5 0.1678 0.5245 0.2254 1
O6 0.3333 0.6667 0.4833 1
# * relative energy among the computed polymorphs: 0.043 eV/f.u.
# * volume: 12.7 A^3/atom
# * DOS(E_F): 0.00 states/eV per cell
# * E: -0.7132 Ry/atom